1.
## Pr2YNpN4 (PBE-GGA)

Data for Pr2YNpN4 after structural relaxation.

Unit cell a=6.0949 b=3.5551 c=6.1964 alpha=90.00 beta=108.70 gamma=90.00
Element x y z (fractional)
Pr (0.0000, 0.0000, 0.0000)
Pr (0.5000, 0.5000, 0.0000)
Y (0.0000, 0.5000, 0.5000)
Np (0.5000, 0.0000, 0.5000)
N (0.2605, 0.0000, 0.7175)
N (0.2697, 0.5000, 0.2821)
N (0.7303, 0.5000, 0.7179)
N (0.7395, 0.0000, 0.2825)

Calculated values
DOS(E_F)	5.691	states/eV per cell
E_tot	-0.67256	Ry/atom
space-group type	No. 10
theoretical density	8.667	g/cm³
uncorrected formation energy	-1368	meV/atom

2.
## Ac7Pm2Nd2 (PBE-GGA)

Data for Ac7Pm2Nd2 after structural relaxation.

Unit cell a=7.1101 b=7.1101 c=9.3676 alpha=98.53 beta=98.53 gamma=93.83
Element x y z (fractional)
Ac (0.0000, 0.0000, 0.0000)
Ac (0.0880, 0.4619, 0.8019)
Ac (0.1585, 0.1585, 0.4180)
Ac (0.4619, 0.0880, 0.8019)
Ac (0.5381, 0.9120, 0.1981)
Ac (0.8415, 0.8415, 0.5820)
Ac (0.9120, 0.5381, 0.1981)
Pm (0.3255, 0.6745, 0.5000)
Pm (0.6745, 0.3255, 0.5000)
Nd (0.3883, 0.3883, 0.1551)
Nd (0.6117, 0.6117, 0.8449)

Calculated values
DOS(E_F)	18.300	states/eV per cell
E_tot	-0.31254	Ry/atom
space-group type	No. 12
theoretical density	7.803	g/cm³

3.
## K2ZrSbSe (PBE-GGA)

Data for K2ZrSbSe after structural relaxation.

Unit cell a=6.2817 b=6.2817 c=5.5150 alpha=90.00 beta=90.00 gamma=90.00
Element x y z (fractional)
K (0.0000, 0.5000, 0.0000)
K (0.5000, 0.0000, 0.0000)
Zr (0.0000, 0.0000, 0.5000)
Sb (0.0000, 0.0000, 0.0000)
Se (0.5000, 0.5000, 0.5000)

Calculated values
DOS(E_F)	7.468	states/eV per cell
E_tot	-0.25672	Ry/atom
space-group type	No. 123
theoretical density	2.824	g/cm³
uncorrected formation energy	177	meV/atom

4.
## TaCdP (PBE-GGA)

Data for TaCdP after structural relaxation.

Unit cell a=11.7128 b=3.2439 c=6.7635 alpha=90.00 beta=112.43 gamma=90.00
Element x y z (fractional)
Ta (0.0000, 0.0000, 0.0000)
Ta (0.2409, 0.5000, 0.1594)
Ta (0.5000, 0.5000, 0.0000)
Ta (0.7409, 0.0000, 0.1594)
Cd (0.1678, 0.0000, 0.7441)
Cd (0.4136, 0.0000, 0.5864)
Cd (0.6678, 0.5000, 0.7441)
Cd (0.9136, 0.5000, 0.5864)
P (0.1605, 0.0000, 0.3594)
P (0.3989, 0.0000, 0.1440)
P (0.6605, 0.5000, 0.3594)
P (0.8989, 0.5000, 0.1440)

Calculated values
DOS(E_F)	4.074	states/eV per cell
E_tot	-0.45356	Ry/atom
space-group type	No. 8
theoretical density	9.069	g/cm³

5.
## Ca2AlRu (PBE-GGA)

Data for Ca2AlRu after structural relaxation.

Unit cell a=3.4986 b=3.6395 c=7.0902 alpha=90.00 beta=90.00 gamma=90.00
Element x y z (fractional)
Ca (0.0000, 0.0000, 0.2255)
Ca (0.0000, 0.0000, 0.7745)
Al (0.5000, 0.5000, 0.5000)
Ru (0.5000, 0.5000, 0.0000)

Calculated values
DOS(E_F)	6.052	states/eV per cell
E_tot	-0.30066	Ry/atom
space-group type	No. 47
theoretical density	3.830	g/cm³

6.
## SrLiEu (PBE-GGA)

Data for SrLiEu after structural relaxation.

Unit cell a=4.1219 b=4.1219 c=14.1376 alpha=90.00 beta=90.00 gamma=90.00
Element x y z (fractional)
Sr (0.0000, 0.0000, 0.0000)
Sr (0.5000, 0.5000, 0.5000)
Li (0.0000, 0.0000, 0.6516)
Li (0.5000, 0.5000, 0.1516)
Eu (0.0000, 0.0000, 0.2906)
Eu (0.5000, 0.5000, 0.7906)

Calculated values
DOS(E_F)	23.028	states/eV per cell
E_tot	-0.33633	Ry/atom
space-group type	No. 107
theoretical density	3.409	g/cm³